No. 1
# PmPr4Dy8

An optimized crystal structure of PmPr4Dy8 (PBE, Alexandria).

* raw total energy: -53.93 eV per cell
* space group: No. 166
* energy relative to the elements: 6.76 eV per formula unit
* N(E_F): 22.733 states/eV per cell

Lattice parameters (Å, degrees): 7.854 7.854 7.854 90.10 90.10 90.10
Sites, in units of the cell vectors:
Pm: 0.000 0.000 0.000
Pr: 0.000 0.000 0.500
Pr: 0.000 0.500 0.000
Pr: 0.500 0.000 0.000
Pr: 0.500 0.500 0.500
Dy: 0.260 0.739 0.739
Dy: 0.261 0.261 0.261
Dy: 0.261 0.261 0.740
Dy: 0.261 0.740 0.261
Dy: 0.739 0.260 0.739
Dy: 0.739 0.739 0.260
Dy: 0.739 0.739 0.739
Dy: 0.740 0.261 0.261

No. 2
# KMnZnGe2

An optimized crystal structure of KMnZnGe2 (PBE, Alexandria).

* raw total energy: -20.87 eV per cell
* space group: No. 123
* energy relative to the elements: -0.09 eV per formula unit
* N(E_F): 0.830 states/eV per cell

Lattice parameters (Å, degrees): 4.591 4.591 4.944 90.00 90.00 90.00
Sites, in units of the cell vectors:
K: 0.000 0.000 0.000
Mn: 0.500 0.500 0.500
Zn: 0.500 0.500 0.000
Ge: 0.000 0.500 0.500
Ge: 0.500 0.000 0.500

No. 3
# DyPaAlAu

An optimized crystal structure of DyPaAlAu (PBE, Alexandria).

* raw total energy: -21.93 eV per cell
* space group: No. 216
* energy relative to the elements: -0.81 eV per formula unit
* N(E_F): 7.636 states/eV per cell

Lattice parameters (Å, degrees): 5.123 5.123 5.123 60.00 60.00 60.00
Sites, in units of the cell vectors:
Dy: 0.000 0.000 0.000
Pa: 0.500 0.500 0.500
Al: 0.250 0.250 0.250
Au: 0.750 0.750 0.750

No. 4
# CaMnCo2

An optimized crystal structure of CaMnCo2 (PBE, Alexandria).

* raw total energy: -23.50 eV per cell
* energy above the most stable polymorph in this dataset: 1.10 eV/f.u.
* space group: No. 65
* energy relative to the elements: 1.88 eV per formula unit
* N(E_F): 6.301 states/eV per cell

Lattice parameters (Å, degrees): 4.425 4.425 2.983 90.00 90.00 90.09
Sites, in units of the cell vectors:
Ca: 0.000 0.000 0.000
Mn: 0.500 0.500 0.000
Co: 0.000 0.500 0.500
Co: 0.500 0.000 0.500

No. 5
# PmTm3

An optimized crystal structure of PmTm3 (PBE, Alexandria).

* raw total energy: -17.66 eV per cell
* energy above the most stable polymorph in this dataset: 0.48 eV/f.u.
* space group: No. 225
* energy relative to the elements: 0.50 eV per formula unit
* N(E_F): 7.089 states/eV per cell

Lattice parameters (Å, degrees): 5.626 5.626 5.626 60.00 60.00 60.00
Sites, in units of the cell vectors:
Pm: 0.000 0.000 0.000
Tm: 0.250 0.250 0.250
Tm: 0.500 0.500 0.500
Tm: 0.750 0.750 0.750

No. 6
# Tm5In4Rh

An optimized crystal structure of Tm5In4Rh (PBE, Alexandria).

* raw total energy: -46.22 eV per cell
* space group: No. 123
* energy relative to the elements: -5.56 eV per formula unit
* N(E_F): 4.605 states/eV per cell

Lattice parameters (Å, degrees): 3.441 3.441 20.525 90.00 90.00 90.00
Sites, in units of the cell vectors:
Tm: 0.000 0.000 0.000
Tm: 0.000 0.000 0.209
Tm: 0.000 0.000 0.420
Tm: 0.000 0.000 0.580
Tm: 0.000 0.000 0.791
In: 0.500 0.500 0.104
In: 0.500 0.500 0.312
In: 0.500 0.500 0.688
In: 0.500 0.500 0.896
Rh: 0.500 0.500 0.500

No. 7
# LaMg2Re

An optimized crystal structure of LaMg2Re (PBE, Alexandria).

* raw total energy: -35.89 eV per cell
* energy above the most stable polymorph in this dataset: 1.42 eV/f.u.
* space group: No. 122
* energy relative to the elements: 2.62 eV per formula unit
* N(E_F): 9.312 states/eV per cell

Lattice parameters (Å, degrees): 11.141 11.141 11.141 158.42 158.42 30.71
Sites, in units of the cell vectors:
La: 0.000 0.000 0.000
La: 0.750 0.250 0.500
Mg: 0.166 0.625 0.041
Mg: 0.375 0.416 0.541
Mg: 0.584 0.125 0.959
Mg: 0.875 0.834 0.459
Re: 0.250 0.750 0.500
Re: 0.500 0.500 0.000

No. 8
# Nd3P2

An optimized crystal structure of Nd3P2 (PBE, Alexandria).

* raw total energy: -31.05 eV per cell
* energy above the most stable polymorph in this dataset: 0.00 eV/f.u.
* space group: No. 166
* energy relative to the elements: -5.92 eV per formula unit
* N(E_F): 3.874 states/eV per cell

Lattice parameters (Å, degrees): 10.361 10.361 10.361 22.93 22.93 22.93
Sites, in units of the cell vectors:
Nd: 0.000 0.000 0.000
Nd: 0.225 0.225 0.225
Nd: 0.775 0.775 0.775
P: 0.391 0.391 0.391
P: 0.609 0.609 0.609

No. 9
# LaFeTe2Mo

An optimized crystal structure of LaFeTe2Mo (PBE, Alexandria).

* raw total energy: -28.22 eV per cell
* space group: No. 123
* N(E_F): 3.752 states/eV per cell

Lattice parameters (Å, degrees): 5.200 5.200 4.709 90.00 90.00 90.00
Sites, in units of the cell vectors:
La: 0.000 0.000 0.000
Fe: 0.000 0.000 0.500
Te: 0.000 0.500 0.500
Te: 0.500 0.000 0.500
Mo: 0.500 0.500 0.000

No. 10
# MgTe2AuN

An optimized crystal structure of MgTe2AuN (PBE, Alexandria).

* raw total energy: -15.63 eV per cell
* energy above the most stable polymorph in this dataset: 0.47 eV/f.u.
* space group: No. 123
* N(E_F): 3.365 states/eV per cell

Lattice parameters (Å, degrees): 5.596 5.596 3.858 90.00 90.00 90.00
Sites, in units of the cell vectors:
Mg: 0.000 0.000 0.000
Te: 0.000 0.500 0.000
Te: 0.500 0.000 0.000
Au: 0.500 0.500 0.500
N: 0.000 0.000 0.500

No. 11
# CrTe2Ru

An optimized crystal structure of CrTe2Ru (PBE, Alexandria).

* raw total energy: -23.21 eV per cell
* energy above the most stable polymorph in this dataset: 2.18 eV/f.u.
* space group: No. 119
* N(E_F): 2.865 states/eV per cell

Lattice parameters (Å, degrees): 5.726 5.726 5.726 139.46 139.46 58.67
Sites, in units of the cell vectors:
Cr: 0.000 0.000 0.000
Te: 0.500 0.500 0.000
Te: 0.750 0.250 0.500
Ru: 0.250 0.750 0.500

No. 12
# SrIrCl

An optimized crystal structure of SrIrCl (PBE, Alexandria).

* raw total energy: -13.09 eV per cell
* energy above the most stable polymorph in this dataset: 3.06 eV/f.u.
* space group: No. 187
* N(E_F): 1.578 states/eV per cell

Lattice parameters (Å, degrees): 4.330 4.330 4.094 90.00 90.00 120.00
Sites, in units of the cell vectors:
Sr: 0.000 0.000 0.000
Ir: 0.333 0.667 0.500
Cl: 0.667 0.333 0.500

> Which of these has the highest raw total energy?

SrIrCl